1.
{
  "formula": "Sr2CdNiHg",
  "functional": "PBE-GGA",
  "state": "optimized geometry",
  "crystal_system": "tetragonal",
  "delta_e_f_ev_per_atom": -0.178,
  "lattice": [[5.664, 0.000, 0.000], [0.000, 5.664, 0.000], [0.000, 0.000, 4.990]],
  "species": ["Sr", "Sr", "Cd", "Ni", "Hg"],
  "frac_coords": [[0.000, 0.500, 0.000], [0.500, 0.000, 0.000], [0.000, 0.000, 0.500], [0.000, 0.000, 0.000], [0.500, 0.500, 0.500]]
}

=====

2.
{
  "formula": "LiPdIO2",
  "functional": "PBE-GGA",
  "state": "optimized geometry",
  "crystal_system": "tetragonal",
  "polymorph_energy_mev_per_atom": 627.7,
  "formation_energy_uncorrected_mev_per_atom": 332,
  "lattice": [[3.823, 0.000, 0.000], [0.000, 3.823, 0.000], [0.000, 0.000, 5.443]],
  "species": ["Li", "Pd", "I", "O", "O"],
  "frac_coords": [[0.000, 0.000, 0.000], [0.500, 0.500, 0.500], [0.000, 0.000, 0.500], [0.000, 0.500, 0.000], [0.500, 0.000, 0.000]]
}

=====

3.
{
  "formula": "TcOsRh",
  "functional": "PBE-GGA",
  "state": "optimized geometry",
  "crystal_system": "orthorhombic",
  "polymorph_energy_mev_per_atom": 0.0,
  "delta_e_f_ev_per_atom": -0.110,
  "lattice": [[1.370, -7.175, 0.000], [1.370, 7.175, 0.000], [0.000, 0.000, 4.355]],
  "species": ["Tc", "Tc", "Os", "Os", "Rh", "Rh"],
  "frac_coords": [[0.113, 0.887, 0.750], [0.887, 0.113, 0.250], [0.222, 0.778, 0.250], [0.778, 0.222, 0.750], [0.444, 0.556, 0.750], [0.556, 0.444, 0.250]]
}

=====

4.
{
  "formula": "BaMg2Zr",
  "functional": "PBE-GGA",
  "state": "optimized geometry",
  "crystal_system": "tetragonal",
  "polymorph_energy_mev_per_atom": 111.8,
  "delta_e_f_ev_per_atom": 0.248,
  "lattice": [[3.422, 0.000, 0.000], [0.000, 3.422, 0.000], [0.000, 0.000, 9.878]],
  "species": ["Ba", "Mg", "Mg", "Zr"],
  "frac_coords": [[0.000, 0.000, 0.000], [0.000, 0.000, 0.499], [0.500, 0.500, 0.298], [0.500, 0.500, 0.696]]
}

=====

5.
{
  "formula": "Pa3Co9B2Pt",
  "functional": "PBE-GGA",
  "state": "optimized geometry",
  "crystal_system": "trigonal",
  "delta_e_f_ev_per_atom": -0.327,
  "lattice": [[5.273, 0.000, 0.000], [-2.636, 4.566, 0.000], [0.000, 0.000, 8.666]],
  "species": ["Pa", "Pa", "Pa", "Co", "Co", "Co", "Co", "Co", "Co", "Co", "Co", "Co", "B", "B", "Pt"],
  "frac_coords": [[0.000, 0.000, 0.000], [0.333, 0.667, 0.660], [0.667, 0.333, 0.340], [0.000, 0.500, 0.000], [0.161, 0.323, 0.268], [0.161, 0.839, 0.268], [0.323, 0.161, 0.732], [0.500, 0.000, 0.000], [0.500, 0.500, 0.000], [0.677, 0.839, 0.268], [0.839, 0.161, 0.732], [0.839, 0.677, 0.732], [0.333, 0.667, 0.140], [0.667, 0.333, 0.860], [0.000, 0.000, 0.500]]
}

=====

6.
{
  "formula": "SrCu2Hg2",
  "functional": "PBE-GGA",
  "state": "optimized geometry",
  "crystal_system": "tetragonal",
  "polymorph_energy_mev_per_atom": 229.5,
  "delta_e_f_ev_per_atom": 0.085,
  "lattice": [[8.148, 0.000, 0.000], [0.000, 8.148, 0.000], [0.000, 0.000, 3.230]],
  "species": ["Sr", "Sr", "Cu", "Cu", "Cu", "Cu", "Hg", "Hg", "Hg", "Hg"],
  "frac_coords": [[0.000, 0.000, 0.000], [0.500, 0.500, 0.000], [0.169, 0.331, 0.500], [0.331, 0.831, 0.500], [0.669, 0.169, 0.500], [0.831, 0.669, 0.500], [0.129, 0.629, 0.000], [0.371, 0.129, 0.000], [0.629, 0.871, 0.000], [0.871, 0.371, 0.000]]
}

=====

7.
{
  "formula": "FeCu2Si",
  "functional": "PBE-GGA",
  "state": "optimized geometry",
  "crystal_system": "tetragonal",
  "formation_energy_uncorrected_mev_per_atom": -27,
  "lattice": [[2.885, 0.000, 0.000], [0.000, 2.885, 0.000], [0.000, 0.000, 5.540]],
  "species": ["Fe", "Cu", "Cu", "Si"],
  "frac_coords": [[0.000, 0.000, 0.000], [0.000, 0.000, 0.469], [0.500, 0.500, 0.723], [0.500, 0.500, 0.196]]
}

=====

8.
{
  "formula": "Sm2HoTaN4",
  "functional": "PBE-GGA",
  "state": "optimized geometry",
  "crystal_system": "monoclinic",
  "formation_energy_uncorrected_mev_per_atom": -1445,
  "lattice": [[5.871, 0.000, 0.000], [0.000, 3.379, 0.000], [-1.923, 0.000, 5.629]],
  "species": ["Sm", "Sm", "Ho", "Ta", "N", "N", "N", "N"],
  "frac_coords": [[0.000, 0.000, 0.000], [0.500, 0.500, 0.000], [0.000, 0.500, 0.500], [0.500, 0.000, 0.500], [0.264, 0.000, 0.721], [0.277, 0.500, 0.284], [0.723, 0.500, 0.716], [0.736, 0.000, 0.279]]
}

=====

9.
{
  "formula": "HoTlHg",
  "functional": "PBE-GGA",
  "state": "optimized geometry",
  "crystal_system": "trigonal",
  "polymorph_energy_mev_per_atom": 46.0,
  "delta_e_f_ev_per_atom": -0.274,
  "lattice": [[4.921, 0.000, 0.000], [-2.460, 4.262, 0.000], [0.000, 0.000, 3.715]],
  "species": ["Ho", "Tl", "Hg"],
  "frac_coords": [[0.000, 0.000, 0.000], [0.333, 0.667, 0.597], [0.667, 0.333, 0.363]]
}

=====

10.
{
  "formula": "KNi2Cl",
  "functional": "PBE-GGA",
  "state": "optimized geometry",
  "crystal_system": "orthorhombic",
  "polymorph_energy_mev_per_atom": 382.4,
  "formation_energy_uncorrected_mev_per_atom": 356,
  "lattice": [[3.307, 0.000, 0.000], [0.000, 4.278, 0.000], [0.000, 0.000, 6.628]],
  "species": ["K", "Ni", "Ni", "Cl"],
  "frac_coords": [[0.000, 0.000, 0.000], [0.000, 0.500, 0.500], [0.500, 0.000, 0.500], [0.500, 0.500, 0.000]]
}

=====

11.
{
  "formula": "LaIn2Ge2",
  "functional": "PBE-GGA",
  "state": "optimized geometry",
  "crystal_system": "tetragonal",
  "delta_e_f_ev_per_atom": -0.232,
  "lattice": [[-2.560, 2.560, 4.928], [2.560, -2.560, 4.928], [2.560, 2.560, -4.928]],
  "species": ["La", "In", "In", "Ge", "Ge"],
  "frac_coords": [[0.000, 0.000, 0.000], [0.359, 0.359, 0.000], [0.641, 0.641, 0.000], [0.250, 0.750, 0.500], [0.750, 0.250, 0.500]]
}

=====

12.
{
  "formula": "U2Co",
  "functional": "PBE-GGA",
  "state": "optimized geometry",
  "crystal_system": "tetragonal",
  "delta_e_f_ev_per_atom": 0.052,
  "lattice": [[-1.740, 1.740, 4.263], [1.740, -1.740, 4.263], [1.740, 1.740, -4.263]],
  "species": ["U", "U", "Co"],
  "frac_coords": [[0.177, 0.177, 0.000], [0.823, 0.823, 0.000], [0.500, 0.500, 0.000]]
}

=====

13.
{
  "formula": "PrDyPdPb",
  "functional": "PBE-GGA",
  "state": "optimized geometry",
  "crystal_system": "cubic",
  "delta_e_f_ev_per_atom": -0.581,
  "lattice": [[0.000, 3.759, 3.759], [3.759, 0.000, 3.759], [3.759, 3.759, 0.000]],
  "species": ["Pr", "Dy", "Pd", "Pb"],
  "frac_coords": [[0.000, 0.000, 0.000], [0.500, 0.500, 0.500], [0.250, 0.250, 0.250], [0.750, 0.750, 0.750]]
}

=====

14.
{
  "formula": "La4CeDy3Te8",
  "functional": "PBE-GGA",
  "state": "optimized geometry",
  "crystal_system": "trigonal",
  "formation_energy_uncorrected_mev_per_atom": -1450,
  "lattice": [[4.473, 2.583, 7.368], [-4.473, 2.583, 7.368], [0.000, -5.165, 7.368]],
  "species": ["La", "La", "La", "La", "Ce", "Dy", "Dy", "Dy", "Te", "Te", "Te", "Te", "Te", "Te", "Te", "Te"],
  "frac_coords": [[0.000, 0.000, 0.000], [0.000, 0.500, 0.500], [0.500, 0.000, 0.500], [0.500, 0.500, 0.000], [0.500, 0.500, 0.500], [0.000, 0.000, 0.500], [0.000, 0.500, 0.000], [0.500, 0.000, 0.000], [0.240, 0.748, 0.748], [0.244, 0.244, 0.244], [0.252, 0.252, 0.760], [0.252, 0.760, 0.252], [0.748, 0.240, 0.748], [0.748, 0.748, 0.240], [0.756, 0.756, 0.756], [0.760, 0.252, 0.252]]
}

=====

15.
{
  "formula": "Dy2Y8Tm3",
  "functional": "PBE-GGA",
  "state": "optimized geometry",
  "crystal_system": "monoclinic",
  "polymorph_energy_mev_per_atom": 97.6,
  "delta_e_f_ev_per_atom": 0.240,
  "lattice": [[10.130, -3.791, 0.000], [10.130, 3.791, 0.000], [-0.003, 0.000, 5.607]],
  "species": ["Dy", "Dy", "Y", "Y", "Y", "Y", "Y", "Y", "Y", "Y", "Tm", "Tm", "Tm"],
  "frac_coords": [[0.241, 0.241, 0.499], [0.759, 0.759, 0.501], [0.133, 0.133, 0.000], [0.181, 0.606, 0.500], [0.332, 0.332, 0.999], [0.394, 0.819, 0.500], [0.606, 0.181, 0.500], [0.668, 0.668, 0.001], [0.819, 0.394, 0.500], [0.867, 0.867, 0.000], [0.000, 0.000, 0.500], [0.282, 0.718, 0.000], [0.718, 0.282, 0.000]]
}

=====

16.
{
  "formula": "DyGa5",
  "functional": "PBE-GGA",
  "state": "optimized geometry",
  "crystal_system": "orthorhombic",
  "polymorph_energy_mev_per_atom": 38.7,
  "delta_e_f_ev_per_atom": -0.294,
  "lattice": [[2.130, -6.145, 0.000], [2.130, 6.145, 0.000], [0.000, 0.000, 4.400]],
  "species": ["Dy", "Ga", "Ga", "Ga", "Ga", "Ga"],
  "frac_coords": [[0.000, 0.000, 0.000], [0.173, 0.827, 0.500], [0.321, 0.679, 0.000], [0.500, 0.500, 0.500], [0.679, 0.321, 0.000], [0.827, 0.173, 0.500]]
}

=====

17.
{
  "formula": "TaTcMo",
  "functional": "PBE-GGA",
  "state": "optimized geometry",
  "crystal_system": "orthorhombic",
  "polymorph_energy_mev_per_atom": 602.1,
  "delta_e_f_ev_per_atom": 0.336,
  "lattice": [[9.301, 0.000, 0.000], [0.000, 2.619, 0.000], [0.000, 0.000, 8.235]],
  "species": ["Ta", "Ta", "Ta", "Ta", "Tc", "Tc", "Tc", "Tc", "Mo", "Mo", "Mo", "Mo"],
  "frac_coords": [[0.129, 0.250, 0.078], [0.371, 0.750, 0.578], [0.629, 0.250, 0.422], [0.871, 0.750, 0.922], [0.123, 0.750, 0.755], [0.377, 0.250, 0.255], [0.623, 0.750, 0.745], [0.877, 0.250, 0.245], [0.121, 0.250, 0.433], [0.379, 0.750, 0.933], [0.621, 0.250, 0.067], [0.879, 0.750, 0.567]]
}

=====

18.
{
  "formula": "Pr5YTe4",
  "functional": "PBE-GGA",
  "state": "optimized geometry",
  "crystal_system": "monoclinic",
  "formation_energy_uncorrected_mev_per_atom": -1018,
  "lattice": [[9.453, -2.163, 0.000], [9.453, 2.163, 0.000], [-1.806, 0.000, 8.558]],
  "species": ["Pr", "Pr", "Pr", "Pr", "Pr", "Y", "Te", "Te", "Te", "Te"],
  "frac_coords": [[0.000, 0.000, 0.000], [0.318, 0.318, 0.144], [0.333, 0.333, 0.693], [0.667, 0.667, 0.307], [0.682, 0.682, 0.856], [0.000, 0.000, 0.500], [0.164, 0.164, 0.575], [0.493, 0.493, 0.255], [0.507, 0.507, 0.745], [0.836, 0.836, 0.425]]
}

=====

19.
{
  "formula": "AlTl2Cu",
  "functional": "PBE-GGA",
  "state": "optimized geometry",
  "crystal_system": "tetragonal",
  "polymorph_energy_mev_per_atom": 252.5,
  "delta_e_f_ev_per_atom": 0.377,
  "lattice": [[-2.113, 2.113, 5.002], [2.113, -2.113, 5.002], [2.113, 2.113, -5.002]],
  "species": ["Al", "Tl", "Tl", "Cu"],
  "frac_coords": [[0.000, 0.000, 0.000], [0.500, 0.500, 0.000], [0.750, 0.250, 0.500], [0.250, 0.750, 0.500]]
}

=====

20.
{
  "formula": "BaIn2Hg3",
  "functional": "PBE-GGA",
  "state": "optimized geometry",
  "crystal_system": "orthorhombic",
  "polymorph_energy_mev_per_atom": 16.7,
  "delta_e_f_ev_per_atom": -0.271,
  "lattice": [[5.470, -4.846, 0.000], [5.470, 4.846, 0.000], [0.000, 0.000, 6.750]],
  "species": ["Ba", "Ba", "In", "In", "In", "In", "Hg", "Hg", "Hg", "Hg", "Hg", "Hg"],
  "frac_coords": [[0.168, 0.832, 0.750], [0.832, 0.168, 0.250], [0.273, 0.273, 0.000], [0.273, 0.273, 0.500], [0.727, 0.727, 0.000], [0.727, 0.727, 0.500], [0.067, 0.645, 0.250], [0.355, 0.933, 0.250], [0.482, 0.518, 0.250], [0.518, 0.482, 0.750], [0.645, 0.067, 0.750], [0.933, 0.355, 0.750]]
}

=====

21.
{
  "formula": "KRbNa2",
  "functional": "PBE-GGA",
  "state": "optimized geometry",
  "crystal_system": "tetragonal",
  "polymorph_energy_mev_per_atom": 71.6,
  "delta_e_f_ev_per_atom": 0.100,
  "lattice": [[-5.376, 5.376, 4.100], [5.376, -5.376, 4.100], [5.376, 5.376, -4.100]],
  "species": ["K", "K", "Rb", "Rb", "Na", "Na", "Na", "Na"],
  "frac_coords": [[0.000, 0.000, 0.000], [0.750, 0.250, 0.500], [0.250, 0.750, 0.500], [0.500, 0.500, 0.000], [0.117, 0.625, 0.992], [0.375, 0.367, 0.492], [0.633, 0.125, 0.008], [0.875, 0.883, 0.508]]
}

=====

22.
{
  "formula": "ScCIN2",
  "functional": "PBE-GGA",
  "state": "optimized geometry",
  "crystal_system": "tetragonal",
  "formation_energy_uncorrected_mev_per_atom": 1836,
  "lattice": [[3.994, 0.000, 0.000], [0.000, 3.994, 0.000], [0.000, 0.000, 6.646]],
  "species": ["Sc", "C", "I", "N", "N"],
  "frac_coords": [[0.000, 0.000, 0.000], [0.500, 0.500, 0.500], [0.000, 0.000, 0.500], [0.000, 0.500, 0.000], [0.500, 0.000, 0.000]]
}

=====

23.
{
  "formula": "Nd2Y3Ho7",
  "functional": "PBE-GGA",
  "state": "optimized geometry",
  "crystal_system": "monoclinic",
  "polymorph_energy_mev_per_atom": 7.9,
  "delta_e_f_ev_per_atom": 0.086,
  "lattice": [[5.783, 0.000, 0.000], [0.000, 3.595, 0.000], [-1.162, 0.000, 18.666]],
  "species": ["Nd", "Nd", "Y", "Y", "Y", "Ho", "Ho", "Ho", "Ho", "Ho", "Ho", "Ho"],
  "frac_coords": [[0.207, 0.000, 0.293], [0.793, 0.000, 0.707], [0.000, 0.000, 0.000], [0.278, 0.500, 0.630], [0.722, 0.500, 0.370], [0.185, 0.500, 0.142], [0.242, 0.000, 0.462], [0.314, 0.000, 0.826], [0.500, 0.500, 0.000], [0.686, 0.000, 0.174], [0.758, 0.000, 0.538], [0.815, 0.500, 0.858]]
}

=====

24.
{
  "formula": "YTmSc4",
  "functional": "PBE-GGA",
  "state": "optimized geometry",
  "crystal_system": "monoclinic",
  "polymorph_energy_mev_per_atom": 0.0,
  "delta_e_f_ev_per_atom": 0.062,
  "lattice": [[3.309, -9.150, 0.000], [3.309, 9.150, 0.000], [-0.001, 0.000, 5.275]],
  "species": ["Y", "Y", "Tm", "Tm", "Sc", "Sc", "Sc", "Sc", "Sc", "Sc", "Sc", "Sc"],
  "frac_coords": [[0.124, 0.876, 0.750], [0.876, 0.124, 0.250], [0.375, 0.625, 0.250], [0.625, 0.375, 0.750], [0.042, 0.459, 0.750], [0.211, 0.294, 0.751], [0.294, 0.211, 0.251], [0.459, 0.042, 0.250], [0.541, 0.958, 0.750], [0.706, 0.789, 0.749], [0.789, 0.706, 0.249], [0.958, 0.541, 0.250]]
}

=====

25.
{
  "formula": "ScNbIn2Co",
  "functional": "PBE-GGA",
  "state": "optimized geometry",
  "crystal_system": "tetragonal",
  "delta_e_f_ev_per_atom": 0.704,
  "lattice": [[5.323, 0.000, 0.000], [0.000, 5.323, 0.000], [0.000, 0.000, 4.379]],
  "species": ["Sc", "Nb", "In", "In", "Co"],
  "frac_coords": [[0.000, 0.000, 0.000], [0.500, 0.500, 0.500], [0.000, 0.500, 0.500], [0.500, 0.000, 0.500], [0.500, 0.500, 0.000]]
}

=====

Magnetic moment, record by record: 0.00 0.06 0.00 0.00 0.00 0.00 0.00 0.00 0.00 1.95 0.00 0.00 0.00 1.20 0.00 0.00 0.00 0.00 0.00 0.00 0.00 1.86 0.00 0.00 0.38 μB/f.u.